(1)
Compound: AsP2
Source: the Alexandria database
Functional: SCAN
Structure: PBEsol geometry

* crystal system: tetragonal
* energy of formation: 0.52 eV per atom
* spin magnetization: 0.00 μB per formula unit

Cell lengths 3.211, 3.211, 18.973 Å; angles 90.00, 90.00, 90.00 degrees
Space group I4_1/amd (No. 141, origin choice 2)
Asymmetric unit:
As  0.000  0.250  0.375 [4 per cell]
P  0.000  0.250  0.791 [8 per cell]

---

(2)
Compound: BeTlBr2
Source: the Alexandria database
Functional: SCAN
Structure: PBEsol geometry

* crystal system: orthorhombic
* distance to the lowest polymorph of the same formula: 163.0 meV/atom
* uncorrected formation energy: -0.2591 eV per atom
* spin magnetization: 0.00 μB per formula unit

Cell lengths 3.530, 5.979, 9.131 Å; angles 90.00, 90.00, 90.00 degrees
Space group Imm2 (No. 44)
Asymmetric unit:
Be  0.000  0.000  0.000 [2 per cell]
Tl  0.000  0.500  0.275 [2 per cell]
Br  0.000  0.000  0.469 [2 per cell]
Br  0.000  0.500  0.647 [2 per cell]

---

(3)
Compound: CeAgP2Se6
Source: the Alexandria database
Functional: SCAN
Structure: PBEsol geometry

* crystal system: monoclinic
* uncorrected formation energy: -0.6276 eV per atom
* spin magnetization: 1.00 μB per formula unit

Cell lengths 6.481, 7.301, 11.631 Å; angles 90.00, 122.73, 90.00 degrees
Space group Pc (No. 7)
Asymmetric unit:
Ce  0.000  0.127  0.000 [2 per cell]
Ag  0.387  0.328  0.511 [2 per cell]
P  0.069  0.370  0.691 [2 per cell]
P  0.334  0.148  0.815 [2 per cell]
Se  0.097  0.077  0.306 [2 per cell]
Se  0.316  0.441  0.176 [2 per cell]
Se  0.510  0.051  0.708 [2 per cell]
Se  0.585  0.267  0.019 [2 per cell]
Se  0.783  0.243  0.495 [2 per cell]
Se  0.947  0.474  0.822 [2 per cell]